<a>
## GdScTl2 (PBE-GGA)

Data for a geometry-optimized GdScTl2 structure.

Cell: 3.6681 3.6681 7.6192 Å, 90.00 90.00 90.00°
Closest atoms and distances in Å follow each position.
Space group P4/mmm (No. 123)
Asymmetric unit:
Gd 0.0000 0.0000 0.0000 (multiplicity 1)  8 Tl 3.31, 4 Gd 3.67
Sc 0.0000 0.0000 0.5000 (multiplicity 1)  8 Tl 3.13
Tl 0.5000 0.5000 0.2690 (multiplicity 2)  4 Sc 3.13, 4 Gd 3.31

Calculated values
The value obtained for the total magnetization is 7.2 μB per formula unit.

<b>
## GdScTl2 (PBE-GGA)

Data for a geometry-optimized GdScTl2 structure.

Cell: 7.4464 7.4464 7.4464 Å, 90.00 90.00 90.00°
Closest atoms and distances in Å follow each position.
Space group Fm-3m (No. 225)
Asymmetric unit:
Gd 0.0000 0.0000 0.0000 (multiplicity 4)  8 Tl 3.22
Sc 0.0000 0.0000 0.5000 (multiplicity 4)  8 Tl 3.22
Tl 0.2500 0.2500 0.2500 (multiplicity 8)  4 Gd 3.22, 4 Sc 3.22

Calculated values
The value obtained for the total magnetization is 7.4 μB per formula unit.

The least stable of them is <b>.

<a>
## GdScTl (PBE-GGA)

Data for a geometry-optimized GdScTl structure.

Cell: 5.0763 5.0763 3.6785 Å, 90.00 90.00 120.00°
Closest atoms and distances in Å follow each position.
Space group P3m1 (No. 156)
Asymmetric unit:
Gd 0.0000 0.0000 0.0000 (multiplicity 1)  6 Tl 3.46, 6 Sc 3.46, 2 Gd 3.68
Sc 0.6667 0.3333 0.4993 (multiplicity 1)  3 Tl 2.93
Tl 0.3333 0.6667 0.5011 (multiplicity 1)  3 Sc 2.93

Calculated values
The value obtained for the total magnetization is 7.6 μB per formula unit.

<b>
## GdScTl (PBE-GGA)

Data for a geometry-optimized GdScTl structure.

Cell: 3.6940 3.6940 11.8153 Å, 90.00 90.00 90.00°
Closest atoms and distances in Å follow each position.
Space group I4mm (No. 107)
Asymmetric unit:
Gd 0.0000 0.0000 0.0000 (multiplicity 2)  4 Tl 3.35, 5 Sc 3.39-3.74, 4 Gd 3.69
Sc 0.0000 0.0000 0.3169 (multiplicity 2)  4 Tl 3.09, 4 Gd 3.39
Tl 0.0000 0.0000 0.6779 (multiplicity 2)  4 Sc 3.09, 4 Gd 3.35

Calculated values
The value obtained for the total magnetization is 8.4 μB per formula unit.

The least stable of them is <a>.

<a>
## GdY2Sc (PBE-GGA)

Data for a geometry-optimized GdY2Sc structure.

Cell: 4.9356 4.9356 4.9659 Å, 90.00 90.00 90.00°
Closest atoms and distances in Å follow each position.
Space group P4/mmm (No. 123)
Asymmetric unit:
Gd 0.0000 0.0000 0.0000 (multiplicity 1)  4 Sc 3.49, 8 Y 3.50
Y 0.0000 0.5000 0.5000 (multiplicity 2)  4 Y 3.49, 4 Sc 3.50, 4 Gd 3.50
Sc 0.5000 0.5000 0.0000 (multiplicity 1)  4 Gd 3.49, 8 Y 3.50

Calculated values
The value obtained for the total magnetization is 7.1 μB per formula unit.

<b>
## GdY2Sc (PBE-GGA)

Data for a geometry-optimized GdY2Sc structure.

Cell: 7.8876 7.8876 7.8876 Å, 90.00 90.00 90.00°
Closest atoms and distances in Å follow each position.
Space group Fm-3m (No. 225)
Asymmetric unit:
Gd 0.0000 0.0000 0.0000 (multiplicity 4)  8 Y 3.42
Y 0.2500 0.2500 0.2500 (multiplicity 8)  4 Sc 3.42, 4 Gd 3.42
Sc 0.0000 0.0000 0.5000 (multiplicity 4)  8 Y 3.42

Calculated values
The value obtained for the total magnetization is 8.7 μB per formula unit.

The least stable of them is <b>.

<a>
## Gd2YSc (PBE-GGA)

Data for a geometry-optimized Gd2YSc structure.

Cell: 7.8691 7.8691 7.8691 Å, 90.00 90.00 90.00°
Closest atoms and distances in Å follow each position.
Space group Fm-3m (No. 225)
Asymmetric unit:
Gd 0.2500 0.2500 0.2500 (multiplicity 8)  4 Sc 3.41, 4 Y 3.41
Y 0.0000 0.0000 0.0000 (multiplicity 4)  8 Gd 3.41
Sc 0.0000 0.0000 0.5000 (multiplicity 4)  8 Gd 3.41

Calculated values
The value obtained for the total magnetization is 15.2 μB per formula unit.

<b>
## Gd2YSc (PBE-GGA)

Data for a geometry-optimized Gd2YSc structure.

Cell: 4.9608 4.9608 4.9072 Å, 90.00 90.00 90.00°
Closest atoms and distances in Å follow each position.
Space group P4/mmm (No. 123)
Asymmetric unit:
Gd 0.0000 0.5000 0.0000 (multiplicity 2)  4 Sc 3.49, 4 Y 3.49, 4 Gd 3.51
Y 0.0000 0.0000 0.5000 (multiplicity 1)  8 Gd 3.49, 4 Sc 3.51
Sc 0.5000 0.5000 0.5000 (multiplicity 1)  8 Gd 3.49, 4 Y 3.51

Calculated values
The value obtained for the total magnetization is 14.5 μB per formula unit.

The least stable of them is <a>.